Entry from Alexandria: KZnTeRh2 after structural relaxation (PBE).

Output
* formation energy from raw total energies: 1772 meV/atom
* E: -2.27 eV/atom
* N(E_F): 1.230 states/eV/atom
* V: 26.932 A^3/atom

Cell lengths 4.7574, 4.7574, 5.9496 Å; angles 90.00, 90.00, 90.00 degrees
Closest atoms and distances in Å follow each position.
Space group P4/mmm (No. 123)
Symmetry-distinct sites (fractional):
K 0.0000 0.0000 0.0000  4 Rh 2.38
Zn 0.5000 0.5000 0.5000  4 Te 3.36
Te 0.0000 0.0000 0.5000  2 K 2.97
Rh 0.0000 0.5000 0.0000  2 K 2.38